(1)
This record from OQMD describes a relaxed structure of HfScPO. The functional is PBE-GGA.

It has space group Pmc2_1 (No. 26), with a = 3.742 Å, b = 7.164 Å, c = 5.361 Å, α = 90.00°, β = 90.00° and γ = 90.00°. The distinct sites, in fractional coordinates, are Hf at (0.000, 0.120, 0.000), Sc at (0.500, 0.279, 0.466), P at (0.500, 0.357, 0.958) and O at (0.000, 0.163, 0.392).

As for the electronic total energy: -8.418 eV per atom. Its size of the total moment is 0.002 μB per cell.



(2)
This record from OQMD describes a relaxed structure of HfScPO. The functional is PBE-GGA.

It has space group Pmc2_1 (No. 26), with a = 4.000 Å, b = 6.880 Å, c = 4.914 Å, α = 90.00°, β = 90.00° and γ = 90.00°. The distinct sites, in fractional coordinates, are Hf at (0.000, 0.241, 0.000), Sc at (0.500, 0.150, 0.501), P at (0.000, 0.380, 0.500) and O at (0.500, 0.160, 0.001).

As for the electronic total energy: -8.499 eV per atom. Its size of the total moment is 0.001 μB per cell.



(3)
This record from OQMD describes a relaxed structure of HfScPO. The functional is PBE-GGA.

It has space group P4/nmm (No. 129, origin choice 2), with a = 4.060 Å, b = 4.060 Å, c = 7.947 Å, α = 90.00°, β = 90.00° and γ = 90.00°. The distinct sites, in fractional coordinates, are Hf at (0.250, 0.750, 0.000), Sc at (0.250, 0.250, 0.400), P at (0.250, 0.250, 0.802) and O at (0.250, 0.750, 0.500).

As for the electronic total energy: -8.439 eV per atom. Its size of the total moment is 0.013 μB per cell.



(4)
This record from OQMD describes a relaxed structure of HfScPO. The functional is PBE-GGA.

It has space group P4/nmm (No. 129, origin choice 2), with a = 4.065 Å, b = 4.065 Å, c = 7.942 Å, α = 90.00°, β = 90.00° and γ = 90.00°. The distinct sites, in fractional coordinates, are Hf at (0.250, 0.750, 0.000), Sc at (0.250, 0.250, 0.401), P at (0.250, 0.250, 0.803) and O at (0.250, 0.750, 0.500).

As for the electronic total energy: -8.439 eV per atom. Its size of the total moment is 0.006 μB per cell.



(5)
This record from OQMD describes a relaxed structure of HfScPO. The functional is PBE-GGA.

It has space group P4/nmm (No. 129, origin choice 2), with a = 3.790 Å, b = 3.790 Å, c = 8.279 Å, α = 90.00°, β = 90.00° and γ = 90.00°. The distinct sites, in fractional coordinates, are Hf at (0.250, 0.250, 0.138), Sc at (0.250, 0.750, 0.500), P at (0.250, 0.250, 0.717) and O at (0.250, 0.750, 0.000).

As for the electronic total energy: -8.395 eV per atom. Its size of the total moment is 0.459 μB per cell.



(6)
This record from OQMD describes a relaxed structure of HfSnPO. The functional is PBE-GGA.

It has space group P4/nmm (No. 129, origin choice 2), with a = 4.438 Å, b = 4.438 Å, c = 7.146 Å, α = 90.00°, β = 90.00° and γ = 90.00°. The distinct sites, in fractional coordinates, are Hf at (0.250, 0.750, 0.000), Sn at (0.250, 0.250, 0.395), P at (0.250, 0.250, 0.820) and O at (0.250, 0.750, 0.500).

As for the electronic total energy: -6.891 eV per atom. Its size of the total moment is 0.026 μB per cell.



What is the electronic total energy in the fifth record?
-8.395 eV per atom